# 1
Compound: KGeW3
Source: Alexandria
Functional: PBE
Structure: relaxed

Values from the calculation:
N(E_F)	7.216	states/eV per cell
formation energy	18.6	eV per formula unit
distance to the lowest polymorph of the same formula	1608.5	meV per atom
space group	No. 221

Cell: 4.5752 4.5752 4.5752 Å, 90.00 90.00 90.00°
Atoms (fractional coordinates):
Ge 0.5000 0.5000 0.5000
W 0.5000 0.0000 0.0000
W 0.0000 0.0000 0.5000
W 0.0000 0.5000 0.0000
K 0.0000 0.0000 0.0000

=====

# 2
Compound: Ag2BiS4
Source: Alexandria
Functional: PBE
Structure: relaxed

Values from the calculation:
N(E_F)	8.957	states/eV per cell
uncorrected formation energy	0.028	eV per atom
space group	No. 63

Cell: 3.8822 6.6821 11.8335 Å, 90.00 90.00 106.89°
Atoms (fractional coordinates):
S 0.9500 0.9000 0.7500
S 0.5000 0.0000 0.5000
S 0.7774 0.5549 0.3814
S 0.0500 0.1000 0.2500
S 0.5000 0.0000 0.0000
S 0.2226 0.4451 0.6186
S 0.2226 0.4451 0.8814
S 0.7774 0.5549 0.1186
Ag 0.8675 0.7350 0.5640
Ag 0.1325 0.2650 0.4360
Ag 0.8675 0.7350 0.9360
Ag 0.1325 0.2650 0.0640
Bi 0.3959 0.7918 0.2500
Bi 0.6041 0.2082 0.7500

=====

# 3
Compound: Sm7Y12Sc
Source: Alexandria
Functional: PBE
Structure: relaxed

Values from the calculation:
N(E_F)	27.143	states/eV per cell
formation energy	6.2	eV per formula unit
distance to the lowest polymorph of the same formula	141.5	meV per atom
space group	No. 148

Cell: 6.7374 11.0092 11.0093 Å, 64.05 78.23 101.77°
Atoms (fractional coordinates):
Y 0.8024 0.0699 0.4528
Y 0.2999 0.2108 0.2140
Y 0.9109 0.4248 0.7892
Y 0.7448 0.5472 0.5227
Y 0.1976 0.9301 0.5472
Y 0.2552 0.4528 0.4773
Y 0.0891 0.5752 0.2108
Y 0.5139 0.2140 0.5752
Y 0.2675 0.5227 0.9301
Y 0.7325 0.4773 0.0699
Y 0.4861 0.7860 0.4248
Y 0.7001 0.7892 0.7860
Sm 0.9417 0.1368 0.7009
Sm 0.5000 0.0000 0.0000
Sm 0.6426 0.7009 0.1623
Sm 0.0583 0.8632 0.2991
Sm 0.8049 0.1623 0.1368
Sm 0.1951 0.8377 0.8632
Sm 0.3574 0.2991 0.8377
Sc 0.0000 0.0000 0.0000

=====

# 4
Compound: Tb2Y7Th2
Source: Alexandria
Functional: PBE
Structure: relaxed

Values from the calculation:
N(E_F)	18.556	states/eV per cell
formation energy	2.1	eV per formula unit
distance to the lowest polymorph of the same formula	2.0	meV per atom
space group	No. 12

Cell: 6.1146 8.0710 8.0710 Å, 91.15 73.92 73.92°
Atoms (fractional coordinates):
Y 0.8188 0.9363 0.4120
Y 0.1812 0.0637 0.5880
Y 0.8188 0.4120 0.9363
Y 0.8044 0.4125 0.4125
Y 0.0000 0.0000 0.0000
Y 0.1956 0.5875 0.5875
Y 0.1812 0.5880 0.0637
Tb 0.5000 0.2117 0.7883
Tb 0.5000 0.7883 0.2117
Th 0.4170 0.2298 0.2298
Th 0.5830 0.7702 0.7702

=====

# 5
Compound: Ce3Zr
Source: Alexandria
Functional: PBE
Structure: relaxed

Values from the calculation:
N(E_F)	10.156	states/eV per cell
formation energy	0.4	eV per formula unit
distance to the lowest polymorph of the same formula	14.6	meV per atom
space group	No. 65

Cell: 3.2355 5.9115 5.9115 Å, 113.43 90.00 90.00°
Atoms (fractional coordinates):
Ce 0.5000 0.5000 0.0000
Ce 0.0000 0.5000 0.5000
Ce 0.5000 0.0000 0.5000
Zr 0.0000 0.0000 0.0000

=====

# 6
Compound: NaSBr2
Source: Alexandria
Functional: PBE
Structure: relaxed

Values from the calculation:
N(E_F)	2.095	states/eV per cell
uncorrected formation energy	-0.405	eV per atom
distance to the lowest polymorph of the same formula	0.0	meV per atom
space group	No. 166

Cell: 8.4114 8.4114 8.4114 Å, 30.21 30.21 30.21°
Atoms (fractional coordinates):
Na 0.5000 0.5000 0.5000
Br 0.8984 0.8984 0.8984
Br 0.1016 0.1016 0.1016
S 0.0000 0.0000 0.0000

=====

# 7
Compound: Ce3Sm2DyAs6
Source: Alexandria
Functional: PBE
Structure: relaxed

Values from the calculation:
N(E_F)	16.582	states/eV per cell
formation energy	-17.8	eV per formula unit
space group	No. 12

Cell: 7.2755 7.2755 7.2689 Å, 99.61 99.61 120.00°
Atoms (fractional coordinates):
Ce 0.1675 0.8325 0.5000
Ce 0.5000 0.5000 0.5000
Ce 0.8325 0.1675 0.5000
Sm 0.3336 0.6664 0.0000
Sm 0.6664 0.3336 0.0000
As 0.4132 0.0831 0.2497
As 0.7537 0.7537 0.2507
As 0.5868 0.9169 0.7503
As 0.9169 0.5868 0.7503
As 0.2463 0.2463 0.7493
As 0.0831 0.4132 0.2497
Dy 0.0000 0.0000 0.0000

=====

# 8
Compound: LiReP2
Source: Alexandria
Functional: PBE
Structure: relaxed

Values from the calculation:
N(E_F)	1.626	states/eV per cell
formation energy	0.2	eV per formula unit
distance to the lowest polymorph of the same formula	365.7	meV per atom
space group	No. 12

Cell: 6.1199 4.1970 3.0156 Å, 90.41 59.82 123.26°
Atoms (fractional coordinates):
Li 0.5000 0.5000 0.0000
P 0.0000 0.0000 0.0000
P 0.5000 0.0000 0.5000
Re 0.0000 0.5000 0.5000

=====

# 9
Compound: Y5HoSc2
Source: Alexandria
Functional: PBE
Structure: relaxed

Values from the calculation:
N(E_F)	18.178	states/eV per cell
formation energy	0.7	eV per formula unit
distance to the lowest polymorph of the same formula	64.8	meV per atom
space group	No. 140

Cell: 8.7921 8.7921 8.8326 Å, 119.85 119.85 90.00°
Atoms (fractional coordinates):
Ho 0.7500 0.7500 0.5000
Ho 0.2500 0.2500 0.5000
Y 0.5000 0.5000 0.0000
Y 0.3100 0.8100 0.3153
Y 0.5053 0.3100 0.3153
Y 0.1900 0.9947 0.6847
Y 0.0053 0.5053 0.3153
Y 0.6900 0.1900 0.6847
Y 0.9947 0.4947 0.6847
Y 0.4947 0.6900 0.6847
Y 0.0000 0.0000 0.0000
Y 0.8100 0.0053 0.3153
Sc 0.3592 0.8592 0.0000
Sc 0.1408 0.3592 0.0000
Sc 0.8592 0.6408 0.0000
Sc 0.6408 0.1408 0.0000

=====

# 10
Compound: Ga3IrS
Source: Alexandria
Functional: PBE
Structure: relaxed

Values from the calculation:
N(E_F)	1.871	states/eV per cell
uncorrected formation energy	0.789	eV per atom
distance to the lowest polymorph of the same formula	899.4	meV per atom
space group	No. 221

Cell: 4.6122 4.6122 4.6122 Å, 90.00 90.00 90.00°
Atoms (fractional coordinates):
Ga 0.0000 0.5000 0.0000
Ga 0.5000 0.0000 0.0000
Ga 0.0000 0.0000 0.5000
Ir 0.5000 0.5000 0.5000
S 0.0000 0.0000 0.0000

=====

# 11
Compound: HfHg3C
Source: Alexandria
Functional: PBE
Structure: relaxed

Values from the calculation:
N(E_F)	3.829	states/eV per cell
formation energy	9.5	eV per formula unit
distance to the lowest polymorph of the same formula	645.6	meV per atom
space group	No. 221

Cell: 5.6295 5.6295 5.6295 Å, 90.00 90.00 90.00°
Atoms (fractional coordinates):
Hg 0.0000 0.5000 0.0000
Hg 0.5000 0.0000 0.0000
Hg 0.0000 0.0000 0.5000
C 0.5000 0.5000 0.5000
Hf 0.0000 0.0000 0.0000

=====

# 12
Compound: YMn2C3
Source: Alexandria
Functional: PBE
Structure: relaxed

Values from the calculation:
N(E_F)	7.357	states/eV per cell
formation energy	-0.1	eV per formula unit
space group	No. 63

Cell: 4.8612 6.6087 5.5865 Å, 126.26 90.00 90.00°
Atoms (fractional coordinates):
C 0.7500 0.6820 0.1510
C 0.2500 0.0860 0.1720
C 0.2500 0.3180 0.8490
C 0.7500 0.4690 0.1510
C 0.7500 0.9140 0.8280
C 0.2500 0.5310 0.8490
Y 0.7500 0.2955 0.5909
Y 0.2500 0.7045 0.4091
Mn 0.0000 0.1894 0.0000
Mn 0.5000 0.8106 0.0000
Mn 0.0000 0.8106 0.0000
Mn 0.5000 0.1894 0.0000